1.
The following is a DFT calculation (PBEsol) of a relaxed BeInP crystal.

Unit cell a=4.360 b=4.360 c=4.360 alpha=60.00 beta=60.00 gamma=60.00
Fractional positions:
Be: 0.000 0.000 0.000
In: 0.250 0.250 0.250
P: 0.500 0.500 0.500

Results
energy relative to the elements: 0.73 eV/atom
space group: No. 216
total DFT energy (no corrections): -3.52 eV per atom
E above lowest polymorph: 0.7751 eV/atom

2.
The following is a DFT calculation (PBEsol) of a relaxed TiBeIn2P crystal.

Unit cell a=5.230 b=5.230 c=4.459 alpha=90.00 beta=90.00 gamma=90.00
Fractional positions:
Ti: 0.000 0.000 0.000
Be: 0.000 0.000 0.500
In: 0.000 0.500 0.000
In: 0.500 0.000 0.000
P: 0.500 0.500 0.500

Results
energy relative to the elements: 1.27 eV/atom
space group: No. 123
total DFT energy (no corrections): -3.54 eV per atom

3.
The following is a DFT calculation (PBEsol) of a relaxed BeIn2Pb crystal.

Unit cell a=5.918 b=5.918 c=5.918 alpha=138.08 beta=138.08 gamma=60.78
Fractional positions:
Be: 0.000 0.000 0.000
In: 0.250 0.750 0.500
In: 0.750 0.250 0.500
Pb: 0.500 0.500 0.000

Results
energy relative to the elements: 0.44 eV/atom
space group: No. 139
total DFT energy (no corrections): -3.05 eV per atom
E above lowest polymorph: 0.1306 eV/atom

4.
The following is a DFT calculation (PBEsol) of a relaxed BeInPb2 crystal.

Unit cell a=5.386 b=5.386 c=5.386 alpha=126.85 beta=126.85 gamma=78.49
Fractional positions:
Be: 0.000 0.000 0.000
In: 0.500 0.500 0.000
Pb: 0.250 0.750 0.500
Pb: 0.750 0.250 0.500

Results
energy relative to the elements: 0.48 eV/atom
space group: No. 139
total DFT energy (no corrections): -3.27 eV per atom

5.
The following is a DFT calculation (PBEsol) of a relaxed BeIn2Pb crystal.

Unit cell a=5.099 b=5.099 c=5.099 alpha=60.00 beta=60.00 gamma=60.00
Fractional positions:
Be: 0.000 0.000 0.000
In: 0.250 0.250 0.250
In: 0.750 0.750 0.750
Pb: 0.500 0.500 0.500

Results
energy relative to the elements: 0.50 eV/atom
space group: No. 225
total DFT energy (no corrections): -2.99 eV per atom
E above lowest polymorph: 0.1890 eV/atom

6.
The following is a DFT calculation (PBEsol) of a relaxed BeIn2Pb crystal.

Unit cell a=3.290 b=3.290 c=8.472 alpha=90.00 beta=90.00 gamma=99.79
Fractional positions:
Be: 0.000 0.000 0.000
In: 0.000 0.000 0.536
In: 0.500 0.500 0.819
Pb: 0.500 0.500 0.213

Results
energy relative to the elements: 0.32 eV/atom
space group: No. 35
total DFT energy (no corrections): -3.17 eV per atom
E above lowest polymorph: 0.0043 eV/atom

7.
The following is a DFT calculation (PBEsol) of a relaxed BeInPb crystal.

Unit cell a=4.541 b=4.541 c=4.541 alpha=60.00 beta=60.00 gamma=60.00
Fractional positions:
Be: 0.000 0.000 0.000
In: 0.750 0.750 0.750
Pb: 0.250 0.250 0.250

Results
energy relative to the elements: 0.35 eV/atom
space group: No. 216
total DFT energy (no corrections): -3.31 eV per atom
E above lowest polymorph: 0.0000 eV/atom

8.
The following is a DFT calculation (PBEsol) of a relaxed BeIn2Pb crystal.

Unit cell a=6.703 b=6.703 c=6.703 alpha=36.51 beta=36.51 gamma=36.51
Fractional positions:
Be: 0.000 0.000 0.000
In: 0.296 0.296 0.296
In: 0.533 0.533 0.533
Pb: 0.743 0.743 0.743

Results
energy relative to the elements: 0.31 eV/atom
space group: No. 160
total DFT energy (no corrections): -3.18 eV per atom
E above lowest polymorph: 0.0000 eV/atom

The lowest energy relative to the elements belongs to which entry? number 8